# 1
The following is a DFT calculation (GGA-PBE) of a relaxed structure of KBaSi2.

Cell: 12.2771 4.0676 8.5755 Å, 90.00 132.56 90.00°
With the nearest neighbours (Å) after each atom.
Space group C2/m (No. 12)
Inequivalent atoms, fractional coordinates:
K: 0.0000 0.0000 0.0000 (multiplicity 2)  6 Si 3.50-3.56
Ba: 0.0000 0.5000 0.5000 (multiplicity 2)  6 Si 3.30-3.59
Si: 0.2384 0.0000 0.5616 (multiplicity 4)  2 Si 2.40

Calculated values
ΔE_f (raw) (eV/f.u.): -0.43
Energy above the most stable polymorph in this dataset (eV per atom): 0.073
DFT total energy (eV/cell): -28.60
D(E_F) (states/eV per atom): 0.65

***

# 2
The following is a DFT calculation (GGA-PBE) of a relaxed structure of K2AsPb.

Cell: 8.0769 8.0769 8.0769 Å, 90.00 90.00 90.00°
With the nearest neighbours (Å) after each atom.
Space group Fm-3m (No. 225)
Inequivalent atoms, fractional coordinates:
K: 0.2500 0.2500 0.2500 (multiplicity 8)  4 As 3.50, 4 Pb 3.50
As: 0.0000 0.0000 0.0000 (multiplicity 4)  8 K 3.50
Pb: 0.0000 0.0000 0.5000 (multiplicity 4)  8 K 3.50

Calculated values
Energy above the most stable polymorph in this dataset (eV per atom): 0.343
DFT total energy (eV/cell): -41.75
D(E_F) (states/eV per atom): 1.00
Formation energy from the elements (eV/atom): 0.029

***

# 3
The following is a DFT calculation (GGA-PBE) of a relaxed structure of CeSm3Tl4S8.

Cell: 8.2963 8.2963 22.4976 Å, 90.00 90.00 120.00°
With the nearest neighbours (Å) after each atom.
Space group R-3m (No. 166, hexagonal axes)
Inequivalent atoms, fractional coordinates:
Ce: 0.0000 0.0000 0.0000 (multiplicity 3)  6 S 2.85
Sm: 0.0000 0.5000 0.0000 (multiplicity 9)  6 S 2.83
Tl: 0.0000 0.0000 0.5000 (multiplicity 3)  6 S 3.26
Tl: 0.0000 0.5000 0.5000 (multiplicity 9)  6 S 3.28
S: 0.0000 0.0000 0.2662 (multiplicity 6)  3 Sm 2.83
S: 0.0025 0.5012 0.2660 (multiplicity 18)  2 Sm 2.83, 1 Ce 2.85

Calculated values
ΔE_f (raw) (eV/f.u.): -23.19
DFT total energy (eV/cell): -257.29
D(E_F) (states/eV per atom): 0.35

***

# 4
The following is a DFT calculation (GGA-PBE) of a relaxed structure of BeSi2Br.

Cell: 4.8442 4.8442 5.6785 Å, 90.00 90.00 90.00°
With the nearest neighbours (Å) after each atom.
Space group I-4m2 (No. 119)
Inequivalent atoms, fractional coordinates:
Be: 0.0000 0.0000 0.0000 (multiplicity 2)  4 Br 2.81, 6 Si 2.81-2.84
Si: 0.0000 0.0000 0.5000 (multiplicity 2)  4 Br 2.81, 4 Si 2.81, 2 Be 2.84
Si: 0.0000 0.5000 0.7500 (multiplicity 2)  4 Si 2.81, 4 Be 2.81, 2 Br 2.84
Br: 0.0000 0.5000 0.2500 (multiplicity 2)  4 Be 2.81, 6 Si 2.81-2.84

Calculated values
ΔE_f (raw) (eV/f.u.): 3.65
Energy above the most stable polymorph in this dataset (eV per atom): 0.866
DFT total energy (eV/cell): -25.18
D(E_F) (states/eV per atom): 0.51